Here is Nd2ThTe2S2 after structural relaxation from Alexandria via LeMat-Bulk. Energies are from PBE.

abc: 5.2851 5.2851 8.8262
angles: 107.42 107.42 90.00
Closest atoms and distances in Å follow each position.
Positions (direct):
Nd 0.6110 0.6110 0.2221  1 Te 3.17, 4 S 3.18
S 0.0000 0.5000 0.0000  2 Th 2.64
Te 0.1909 0.1909 0.3818  1 Th 3.05, 1 Nd 3.17
Te 0.8091 0.8091 0.6182  1 Th 3.05, 1 Nd 3.17
Nd 0.3890 0.3890 0.7779  1 Te 3.17, 4 S 3.18
Th 0.0000 0.0000 0.0000  4 S 2.64
S 0.5000 0.0000 0.0000  2 Th 2.64

Calculated values
* total moment: 0.00 μB/f.u.
* crystal system: tetragonal
* energy relative to the elements, uncorrected: -1.303 eV per atom
* DOS(E_F): 0.816 states/eV per atom
* volume: 223.3 Å³/cell